Cs2Cu3P4O14: single point on PBEsol structure, SCAN.

It has space group P2_1/c (No. 14), with a = 7.887 Å, b = 10.971 Å, c = 7.735 Å, α = 90.00°, β = 104.07° and γ = 90.00°. The distinct sites, in fractional coordinates, are Cs at (0.249, 0.185, 0.463), Cu at (0.000, 0.000, 0.000), Cu at (0.281, 0.608, 0.272), P at (0.132, 0.658, 0.847), P at (0.384, 0.546, 0.665), O at (0.012, 0.095, 0.793), O at (0.102, 0.703, 0.345), O at (0.147, 0.600, 0.028), O at (0.237, 0.048, 0.108), O at (0.318, 0.645, 0.792), O at (0.426, 0.621, 0.514) and O at (0.454, 0.508, 0.207).

The final energy is -12.970 eV per atom. The calculation puts the energy relative to the elements, uncorrected at -2.10 eV per atom.